No. 1
Sm4ScSb5: relaxed, PBE.

POSCAR file:
```
Sm4ScSb5
1.0
5.642 0.000 2.721
2.821 6.975 1.361
-0.209 0.000 7.643
Sb Sm Sc
5 4 1
direct
0.903 0.387 0.809 Sb
0.712 0.191 0.387 Sb
0.290 0.809 0.613 Sb
0.099 0.613 0.191 Sb
0.501 0.000 0.000 Sb
0.200 0.206 0.397 Sm
0.802 0.794 0.603 Sm
0.405 0.397 0.794 Sm
0.597 0.603 0.206 Sm
0.001 0.000 0.000 Sc
```

Results
Formation energy (no corrections)   -1068 kJ/mol of formula units
Space group   I4/m (87)

***

No. 2
Pm5SmAg4: relaxed, PBE.

POSCAR file:
```
Pm5SmAg4
1.0
3.703 0.000 0.000
0.000 3.703 0.000
0.000 0.000 20.152
Pm Ag Sm
5 4 1
direct
0.500 0.500 0.874 Pm
0.500 0.500 0.126 Pm
0.500 0.500 0.688 Pm
0.500 0.500 0.500 Pm
0.500 0.500 0.312 Pm
0.000 0.000 0.594 Ag
0.000 0.000 0.219 Ag
0.000 0.000 0.406 Ag
0.000 0.000 0.781 Ag
0.000 0.000 0.000 Sm
```

Results
E_form   -0.21 eV per atom
Space group   P4/mmm (123)

***

No. 3
CuAs: relaxed, PBE.

POSCAR file:
```
CuAs
1.0
-1.289 6.443 -0.859
-4.530 4.129 -0.250
-0.174 0.946 2.670
Cu As
2 2
direct
0.375 0.540 0.542 Cu
0.541 0.043 0.208 Cu
0.006 0.467 0.764 As
0.911 0.117 0.986 As
```

Results
E_form   0.10 eV per atom
Space group   C2/m (12)

***

No. 4
CaCdPb2S4: relaxed, PBE.

POSCAR file:
```
CaCdPb2S4
1.0
8.227 -0.016 -0.018
-0.021 8.227 -0.018
-4.069 -4.072 5.823
S Pb Cd Ca
8 4 2 2
direct
0.232 0.746 0.989 S
0.755 0.745 0.517 S
0.245 0.255 0.017 S
0.768 0.254 0.011 S
0.755 0.745 0.983 S
0.754 0.268 0.511 S
0.246 0.732 0.489 S
0.245 0.255 0.483 S
0.500 0.000 0.500 Pb
0.000 0.000 0.500 Pb
0.500 0.500 0.000 Pb
0.500 0.000 0.000 Pb
0.000 0.000 0.000 Cd
0.500 0.500 0.500 Cd
0.000 0.500 0.500 Ca
0.000 0.500 0.000 Ca
```

Results
Formation energy (no corrections)   -701 kJ/mol of formula units
Space group   Imma (74)

***

No. 5
VInPd2: relaxed, PBE.

POSCAR file:
```
VInPd2
1.0
-0.998 -2.960 -0.918
1.971 0.138 -2.589
4.578 -2.583 3.348
Pd V In
2 1 1
direct
0.000 0.000 0.231 Pd
0.000 0.000 0.769 Pd
0.500 0.500 0.000 V
0.500 0.500 0.500 In
```

Results
E_form   -0.25 eV per atom
Space group   P4/mmm (123)

***

No. 6
HfBeCo: relaxed, PBE.

POSCAR file:
```
HfBeCo
1.0
5.788 0.000 -2.855
-1.570 5.711 -3.184
-0.009 0.094 7.276
Co Hf Be
6 6 6
direct
0.753 0.750 0.000 Co
0.420 0.167 0.333 Co
0.087 0.333 0.667 Co
0.420 0.667 0.333 Co
0.087 0.833 0.667 Co
0.753 0.250 0.000 Co
0.162 0.954 0.408 Hf
0.162 0.454 0.408 Hf
0.754 0.046 0.592 Hf
0.344 0.750 0.000 Hf
0.344 0.250 0.000 Hf
0.754 0.546 0.592 Hf
0.753 0.621 0.241 Be
0.512 0.879 0.759 Be
0.994 0.000 0.000 Be
0.512 0.379 0.759 Be
0.994 0.500 0.000 Be
0.753 0.121 0.241 Be
```

Results
E_form   -0.30 eV per atom
Space group   Amm2 (38)

***

No. 7
La3YPd: relaxed, PBE.

POSCAR file:
```
La3YPd
1.0
-1.179 -0.709 5.564
0.940 -5.630 -0.518
5.530 0.806 1.275
La Pd Y
3 1 1
direct
0.500 0.000 0.000 La
0.000 0.500 0.000 La
0.000 0.000 0.500 La
0.500 0.500 0.500 Pd
0.000 0.000 0.000 Y
```

Results
E_form   0.78 eV per atom
Space group   Pm-3m (221)

***

No. 8
NaMgZn2Ni: relaxed, PBE.

POSCAR file:
```
NaMgZn2Ni
1.0
4.681 0.000 0.000
0.000 4.681 0.000
0.000 0.000 4.793
Mg Zn Na Ni
1 2 1 1
direct
0.000 0.000 0.500 Mg
0.500 0.000 0.000 Zn
0.000 0.500 0.000 Zn
0.500 0.500 0.500 Na
0.000 0.000 0.000 Ni
```

Results
E_form   0.01 eV per atom
Space group   P4/mmm (123)

***

The following total energy values (in eV per atom) correspond, in order, to the records above: -5.689 -4.196 -4.275 -4.264 -5.812 -7.232 -4.510 -2.237.
The following magnetization values (in μB/f.u.) correspond, in order, to the records above: 0.00 0.00 0.00 0.00 2.06 0.00 0.00 0.00.